(1)
Here is a geometry-optimized La2TeRh structure from Alexandria. Energies are from PBE.

Results
The calculation puts the density of states at the Fermi level at 5.872 states/eV/cell. The relative energy among the computed polymorphs comes out at 0.064 eV/atom. The calculation puts the uncorrected formation energy at -1077 meV/atom. For the magnetization, the calculation gives 0.00 Bohr magnetons per cell.

Unit cell a=6.445 b=4.322 c=8.836 alpha=90.00 beta=111.31 gamma=90.00
Space group P2_1/m (No. 11)
Inequivalent atoms, fractional coordinates:
La  0.164  0.250  0.394
La  0.264  0.750  0.045
Te  0.383  0.750  0.696
Rh  0.105  0.250  0.802



(2)
Here is a geometry-optimized La2TeRh structure from Alexandria. Energies are from PBE.

Results
The calculation puts the density of states at the Fermi level at 2.132 states/eV/cell. The relative energy among the computed polymorphs comes out at 0.133 eV/atom. The calculation puts the uncorrected formation energy at -1008 meV/atom. For the magnetization, the calculation gives 0.00 Bohr magnetons per cell.

Unit cell a=4.437 b=4.437 c=6.474 alpha=90.00 beta=90.00 gamma=90.00
Space group P4mm (No. 99)
Inequivalent atoms, fractional coordinates:
La  0.000  0.000  0.000
La  0.500  0.500  0.408
Te  0.500  0.500  0.903
Rh  0.000  0.000  0.390



(3)
Here is a geometry-optimized La2TeRh structure from Alexandria. Energies are from PBE.

Results
The calculation puts the density of states at the Fermi level at 3.792 states/eV/cell. The relative energy among the computed polymorphs comes out at 0.014 eV/atom. The calculation puts the uncorrected formation energy at -1127 meV/atom. For the magnetization, the calculation gives 0.00 Bohr magnetons per cell.

Unit cell a=6.274 b=4.329 c=8.802 alpha=90.00 beta=96.76 gamma=90.00
Space group P2_1/m (No. 11)
Inequivalent atoms, fractional coordinates:
La  0.207  0.250  0.128
La  0.286  0.250  0.705
Te  0.233  0.750  0.413
Rh  0.311  0.750  0.928



(4)
Here is a geometry-optimized La2TeRh structure from Alexandria. Energies are from PBE.

Results
The calculation puts the density of states at the Fermi level at 10.607 states/eV/cell. The relative energy among the computed polymorphs comes out at 0.021 eV/atom. The calculation puts the uncorrected formation energy at -1120 meV/atom. For the magnetization, the calculation gives 0.00 Bohr magnetons per cell.

Unit cell a=11.919 b=4.066 c=9.503 alpha=90.00 beta=93.68 gamma=90.00
Space group C2/m (No. 12)
Inequivalent atoms, fractional coordinates:
La  0.112  0.000  0.164
La  0.142  0.000  0.595
Te  0.117  0.500  0.875
Rh  0.090  0.500  0.385



(5)
Here is a geometry-optimized La2TeRh structure from Alexandria. Energies are from PBE.

Results
The calculation puts the density of states at the Fermi level at 11.111 states/eV/cell. The relative energy among the computed polymorphs comes out at 0.056 eV/atom. The calculation puts the uncorrected formation energy at -1086 meV/atom. For the magnetization, the calculation gives 0.00 Bohr magnetons per cell.

Unit cell a=15.053 b=4.038 c=7.618 alpha=90.00 beta=95.87 gamma=90.00
Space group C2/m (No. 12)
Inequivalent atoms, fractional coordinates:
La  0.038  0.000  0.268
La  0.223  0.000  0.702
Te  0.121  0.500  0.960
Rh  0.102  0.500  0.526



(6)
Here is a geometry-optimized La2TeRh structure from Alexandria. Energies are from PBE.

Results
The calculation puts the density of states at the Fermi level at 2.366 states/eV/cell. The relative energy among the computed polymorphs comes out at 0.147 eV/atom. The calculation puts the uncorrected formation energy at -994 meV/atom. For the magnetization, the calculation gives 0.00 Bohr magnetons per cell.

Unit cell a=3.757 b=3.757 c=7.646 alpha=90.00 beta=90.00 gamma=90.00
Space group P4/mmm (No. 123)
Inequivalent atoms, fractional coordinates:
La  0.000  0.000  0.222
Te  0.500  0.500  0.500
Rh  0.500  0.500  0.000



(7)
Here is a geometry-optimized LaTe2Rh structure from Alexandria. Energies are from PBE.

Results
The calculation puts the density of states at the Fermi level at 22.261 states/eV/cell. The relative energy among the computed polymorphs comes out at 0.638 eV/atom. The calculation puts the uncorrected formation energy at -342 meV/atom. For the magnetization, the calculation gives 0.00 Bohr magnetons per cell.

Unit cell a=7.415 b=7.415 c=7.415 alpha=90.00 beta=90.00 gamma=90.00
Space group F-43m (No. 216)
Inequivalent atoms, fractional coordinates:
La  0.000  0.000  0.000
Te  0.000  0.000  0.500
Te  0.250  0.250  0.750
Rh  0.250  0.250  0.250



(8)
Here is a geometry-optimized La4TeRh structure from Alexandria. Energies are from PBE.

Results
The calculation puts the density of states at the Fermi level at 27.436 states/eV/cell. The relative energy among the computed polymorphs comes out at 0.000 eV/atom. The calculation puts the uncorrected formation energy at -721 meV/atom. For the magnetization, the calculation gives 0.00 Bohr magnetons per cell.

Unit cell a=9.460 b=14.642 c=6.897 alpha=90.00 beta=123.53 gamma=90.00
Space group C2/c (No. 15)
Inequivalent atoms, fractional coordinates:
La  0.113  0.192  0.088
La  0.238  0.445  0.299
Te  0.000  0.373  0.750
Rh  0.000  0.013  0.250



(9)
Here is a geometry-optimized La2TeRh structure from Alexandria. Energies are from PBE.

Results
The calculation puts the density of states at the Fermi level at 4.954 states/eV/cell. The relative energy among the computed polymorphs comes out at 0.251 eV/atom. The calculation puts the uncorrected formation energy at -890 meV/atom. For the magnetization, the calculation gives 0.00 Bohr magnetons per cell.

Unit cell a=4.637 b=6.141 c=7.857 alpha=90.00 beta=90.00 gamma=90.00
Space group Immm (No. 71)
Inequivalent atoms, fractional coordinates:
La  0.000  0.000  0.223
Te  0.000  0.500  0.000
Rh  0.000  0.500  0.500



(10)
Here is a geometry-optimized LaTe2Rh structure from Alexandria. Energies are from PBE.

Results
The calculation puts the density of states at the Fermi level at 5.064 states/eV/cell. The relative energy among the computed polymorphs comes out at 0.565 eV/atom. The calculation puts the uncorrected formation energy at -415 meV/atom. For the magnetization, the calculation gives 0.86 Bohr magnetons per cell.

Unit cell a=3.690 b=3.690 c=7.330 alpha=90.00 beta=90.00 gamma=90.00
Space group P4/mmm (No. 123)
Inequivalent atoms, fractional coordinates:
La  0.000  0.000  0.000
Te  0.500  0.500  0.281
Rh  0.000  0.000  0.500



(11)
Here is a geometry-optimized LaTe2Rh structure from Alexandria. Energies are from PBE.

Results
The calculation puts the density of states at the Fermi level at 0.469 states/eV/cell. The relative energy among the computed polymorphs comes out at 0.000 eV/atom. The calculation puts the uncorrected formation energy at -980 meV/atom. For the magnetization, the calculation gives 0.00 Bohr magnetons per cell.

Unit cell a=10.793 b=4.233 c=5.512 alpha=90.00 beta=111.48 gamma=90.00
Space group C2/m (No. 12)
Inequivalent atoms, fractional coordinates:
La  0.000  0.000  0.000
Te  0.156  0.500  0.731
Rh  0.000  0.000  0.500



(12)
Here is a geometry-optimized LaTeRh2 structure from Alexandria. Energies are from PBE.

Results
The calculation puts the density of states at the Fermi level at 2.531 states/eV/cell. The relative energy among the computed polymorphs comes out at 0.054 eV/atom. The calculation puts the uncorrected formation energy at -646 meV/atom. For the magnetization, the calculation gives 0.00 Bohr magnetons per cell.

Unit cell a=9.140 b=4.132 c=5.004 alpha=90.00 beta=105.77 gamma=90.00
Space group Cm (No. 8)
Inequivalent atoms, fractional coordinates:
La  0.000  0.000  0.000
Te  0.236  0.000  0.604
Rh  0.016  0.500  0.453
Rh  0.307  0.500  0.357